The following is a DFT calculation (GGA-PBE) of a geometry-optimized Ag3PtI2Cl6 structure.

Cell: 6.034 7.678 7.993 Å, 118.71 91.87 90.00°
Atoms (fractional coordinates):
Ag: 0.000 0.500 0.000
Ag: 0.500 0.500 0.500
Ag: 0.500 0.000 0.500
Pt: 0.500 0.000 0.000
I: 0.181 0.684 0.368
I: 0.819 0.316 0.632
Cl: 0.718 0.296 0.150
Cl: 0.282 0.704 0.850
Cl: 0.726 0.867 0.734
Cl: 0.274 0.133 0.266
Cl: 0.282 0.146 0.850
Cl: 0.718 0.854 0.150

As for the total energy: -2.7446 eV per atom. The space-group type is C2/m (12). The calculation puts the energy relative to the elements, uncorrected at -0.347 eV/atom.